Below is Li4AgAs after structural relaxation, with properties calculated at the PBE-GGA level.

Lattice parameters (Å, degrees): 5.123 5.123 5.123 60.00 60.00 60.00
Sites, in units of the cell vectors:
Li 0.876 0.375 0.375
Li 0.375 0.375 0.876
Li 0.375 0.876 0.375
Li 0.375 0.375 0.375
Ag 0.750 0.750 0.750
As 0.000 0.000 0.000

Computed properties:
- Energy relative to the lowest polymorph listed for this composition: 0.2347 eV per atom
- Total moment: 0.2 μB/f.u.
- Space group: F-43m (216)